No. 1
{"formula": "LiRhSeO4", "functional": "PBE", "state": "relaxed", "lattice": [[-2.3783, 1.6831, 5.3894], [-3.6488, -3.7359, 3.0388], [2.4899, -1.8887, 5.1709]], "species": ["O", "O", "O", "O", "O", "O", "O", "O", "Se", "Se", "Li", "Li", "Rh", "Rh"], "fractional_positions": [[0.7210, 0.2615, 0.7615], [0.7582, 0.1926, 0.2909], [0.2418, 0.2091, 0.3074], [0.7440, 0.7385, 0.2385], [0.2560, 0.2615, 0.7615], [0.2790, 0.7385, 0.2385], [0.7582, 0.7909, 0.6926], [0.2418, 0.8074, 0.7091], [0.3610, 0.3890, 0.8890], [0.6390, 0.6110, 0.1110], [0.0000, 0.5000, 0.5000], [0.0000, 0.0000, 0.0000], [0.0000, 0.0000, 0.5000], [0.5000, 0.0000, 0.5000]], "dos_ef_per_ev_cell": 2.67}

---

No. 2
{"formula": "LiRhSeO5", "functional": "PBE", "state": "relaxed", "lattice": [[5.5387, -0.0895, -0.0098], [-1.7024, 5.2713, -0.0098], [-1.6087, -2.1729, 6.6762]], "species": ["Rh", "Rh", "O", "O", "O", "O", "O", "O", "O", "O", "O", "O", "Se", "Se", "Li", "Li"], "fractional_positions": [[0.0000, 0.0000, 0.0000], [0.0000, 0.0000, 0.5000], [0.6602, 0.0642, 0.3635], [0.0897, 0.9103, 0.2500], [0.0642, 0.6602, 0.8635], [0.6038, 0.7506, 0.9377], [0.9358, 0.3398, 0.1365], [0.2494, 0.3962, 0.5623], [0.3398, 0.9358, 0.6365], [0.3962, 0.2494, 0.0623], [0.7506, 0.6038, 0.4377], [0.9103, 0.0897, 0.7500], [0.3137, 0.6863, 0.7500], [0.6863, 0.3137, 0.2500], [0.6981, 0.3019, 0.7500], [0.3019, 0.6981, 0.2500]], "dos_ef_per_ev_cell": 4.47}

---

No. 3
{"formula": "Li2SiRhO4", "functional": "PBE", "state": "relaxed", "lattice": [[4.7450, 0.2611, 0.4000], [-1.7856, 4.4040, -0.4000], [-1.7856, -2.1385, 3.8706]], "species": ["Li", "Li", "O", "O", "O", "O", "Si", "Rh"], "fractional_positions": [[0.0000, 0.0000, 0.0000], [0.5000, 0.7500, 0.2500], [0.0064, 0.1457, 0.4749], [0.9936, 0.4685, 0.1393], [0.3292, 0.8607, 0.8543], [0.6708, 0.5251, 0.5315], [0.0000, 0.5000, 0.5000], [0.5000, 0.2500, 0.7500]], "dos_ef_per_ev_cell": 4.80}

---

No. 4
{"formula": "LiSm2Rh3O8", "functional": "PBE", "state": "relaxed", "lattice": [[6.4225, 0.0000, 0.0000], [3.2112, 5.5620, 0.0000], [3.2112, 1.8540, 5.3772]], "species": ["Sm", "Sm", "O", "O", "O", "O", "O", "O", "O", "O", "Li", "Rh", "Rh", "Rh"], "fractional_positions": [[0.0339, 0.0339, 0.8984], [0.5199, 0.5199, 0.4403], [0.2692, 0.6986, 0.7630], [0.2695, 0.7724, 0.1857], [0.6986, 0.2692, 0.7630], [0.7724, 0.7724, 0.1857], [0.2798, 0.2798, 0.1605], [0.2692, 0.2692, 0.7630], [0.7341, 0.7341, 0.7978], [0.7724, 0.2695, 0.1857], [0.8547, 0.8547, 0.4358], [0.5036, 0.0118, 0.9811], [0.5036, 0.5036, 0.9811], [0.0118, 0.5036, 0.9811]]}

---

No. 5
{"formula": "LiSnRh2O6", "functional": "PBE", "state": "relaxed", "lattice": [[-3.6544, 3.2354, 1.1091], [0.0200, -1.6530, 4.8877], [3.5257, 3.5730, 1.1939]], "species": ["O", "O", "O", "O", "O", "O", "Li", "Rh", "Rh", "Sn"], "fractional_positions": [[0.7614, 0.7478, 0.2522], [0.7614, 0.2522, 0.2522], [0.1886, 0.5000, 0.5000], [0.7614, 0.7478, 0.7478], [0.1823, 0.0000, 0.0000], [0.7614, 0.2522, 0.7478], [0.5813, 0.5000, 0.5000], [0.9408, 0.5000, 0.0000], [0.9408, 0.0000, 0.5000], [0.5677, 0.0000, 0.0000]], "dos_ef_per_ev_cell": 5.70}

---

No. 6
{"formula": "LiSnRhO4", "functional": "PBE", "state": "relaxed", "lattice": [[-0.1029, -0.5349, 6.1752], [-4.8892, -2.6356, 2.8018], [0.7001, -5.5898, 2.6391]], "species": ["Li", "Li", "O", "O", "O", "O", "O", "O", "O", "O", "Rh", "Rh", "Sn", "Sn"], "fractional_positions": [[0.3793, 0.3707, 0.8707], [0.6207, 0.6293, 0.1293], [0.2189, 0.7608, 0.2608], [0.2389, 0.7908, 0.7315], [0.2404, 0.2392, 0.7392], [0.7611, 0.2092, 0.2685], [0.7811, 0.2392, 0.7392], [0.2389, 0.2315, 0.2908], [0.7596, 0.7608, 0.2608], [0.7611, 0.7685, 0.7092], [0.0000, 0.0000, 0.5000], [0.5000, 0.0000, 0.5000], [0.0000, 0.5000, 0.5000], [0.0000, 0.0000, 0.0000]]}

---

No. 7
{"formula": "Li4SnRh3O8", "functional": "PBE", "state": "relaxed", "lattice": [[-5.7035, 1.6604, -1.9741], [-0.0686, -4.7324, -3.7823], [1.0961, -0.7637, 6.1154]], "species": ["Li", "Li", "Li", "Li", "Sn", "O", "O", "O", "O", "O", "O", "O", "O", "Rh", "Rh", "Rh"], "fractional_positions": [[0.5000, 0.0000, 0.0000], [0.5000, 0.0000, 0.5000], [0.0000, 0.0000, 0.5000], [0.0000, 0.0000, 0.0000], [0.0000, 0.5000, 0.0000], [0.7581, 0.2636, 0.5163], [0.2419, 0.7364, 0.4837], [0.2619, 0.2856, 0.5237], [0.7581, 0.2636, 0.0054], [0.2473, 0.2636, 0.0054], [0.7527, 0.7364, 0.9946], [0.7381, 0.7144, 0.4763], [0.2419, 0.7364, 0.9946], [0.0000, 0.5000, 0.5000], [0.5000, 0.5000, 0.0000], [0.5000, 0.5000, 0.5000]], "dos_ef_per_ev_cell": 4.37}

---

No. 8
{"formula": "Li2SnRh2O6", "functional": "PBE", "state": "relaxed", "lattice": [[-1.3584, -3.9656, 3.4594], [4.4928, 2.9492, 0.8098], [-3.6957, 3.5687, 1.1521]], "species": ["O", "O", "O", "O", "O", "O", "Li", "Li", "Sn", "Rh", "Rh"], "fractional_positions": [[0.2530, 0.2530, 0.2811], [0.5841, 0.9319, 0.2820], [0.4159, 0.0681, 0.7180], [0.9319, 0.5841, 0.2820], [0.7470, 0.7470, 0.7189], [0.0681, 0.4159, 0.7180], [0.1922, 0.8078, 0.0000], [0.8078, 0.1922, 0.0000], [0.0000, 0.0000, 0.5000], [0.3350, 0.6650, 0.5000], [0.6650, 0.3350, 0.5000]]}

---

Number 1: ΔE_f (raw) -0.95 eV per atom. Number 2: ΔE_f (raw) -0.84 eV per atom. Number 3: ΔE_f (raw) -1.77 eV per atom. Number 4: ΔE_f (raw) -1.78 eV per atom. Number 5: ΔE_f (raw) -0.52 eV per atom. Number 6: ΔE_f (raw) -1.43 eV per atom. Number 7: ΔE_f (raw) -1.28 eV per atom. Number 8: ΔE_f (raw) -1.31 eV per atom.